*a*
An optimized crystal structure of SrRuIN2. Source: Alexandria, functional PBE-GGA.

Structure (CIF):
```
data_SrRuIN2
_chemical_formula_sum 'Sr1 Ru1 I1 N2'
_cell_length_a 4.789
_cell_length_b 4.789
_cell_length_c 6.604
_cell_angle_alpha 90.00
_cell_angle_beta 90.00
_cell_angle_gamma 90.00
_space_group_name_H-M_alt 'P 4/m m m'
_space_group_IT_number 123
_space_group_name_Hall '-P 4 2'
loop_
_atom_site_label
_atom_site_type_symbol
_atom_site_fract_x
_atom_site_fract_y
_atom_site_fract_z
_atom_site_occupancy
Sr1 Sr 0.000 0.000 0.000 1
Ru1 Ru 0.500 0.500 0.500 1
I1 I 0.000 0.000 0.500 1
N1 N 0.000 0.500 0.000 1
```

Properties
As for the crystal system: tetragonal. The value obtained for the total magnetic moment is 7.013 μB/f.u.

*b*
An optimized crystal structure of SrRuIN2. Source: Alexandria, functional PBE-GGA.

Structure (CIF):
```
data_SrRuIN2
_chemical_formula_sum 'Sr1 Ru1 I1 N2'
_cell_length_a 4.141
_cell_length_b 4.141
_cell_length_c 5.528
_cell_angle_alpha 90.00
_cell_angle_beta 90.00
_cell_angle_gamma 90.00
_space_group_name_H-M_alt 'P 4/m m m'
_space_group_IT_number 123
_space_group_name_Hall '-P 4 2'
loop_
_atom_site_label
_atom_site_type_symbol
_atom_site_fract_x
_atom_site_fract_y
_atom_site_fract_z
_atom_site_occupancy
Sr1 Sr 0.000 0.000 0.000 1
Ru1 Ru 0.500 0.500 0.500 1
I1 I 0.500 0.500 0.000 1
N1 N 0.000 0.500 0.500 1
```

Properties
As for the crystal system: tetragonal. The value obtained for the total magnetic moment is 0.445 μB/f.u.

It turns out *b* is the most stable, with the second structure 1499 meV/atom higher.

*a*
An optimized crystal structure of TcRuI2N. Source: Alexandria, functional PBE-GGA.

Structure (CIF):
```
data_TcRuI2N
_chemical_formula_sum 'Tc1 Ru1 I2 N1'
_cell_length_a 5.536
_cell_length_b 5.536
_cell_length_c 3.721
_cell_angle_alpha 90.00
_cell_angle_beta 90.00
_cell_angle_gamma 90.00
_space_group_name_H-M_alt 'P 4/m m m'
_space_group_IT_number 123
_space_group_name_Hall '-P 4 2'
loop_
_atom_site_label
_atom_site_type_symbol
_atom_site_fract_x
_atom_site_fract_y
_atom_site_fract_z
_atom_site_occupancy
Tc1 Tc 0.000 0.000 0.000 1
Ru1 Ru 0.500 0.500 0.500 1
I1 I 0.000 0.500 0.000 1
N1 N 0.000 0.000 0.500 1
```

Properties
As for the crystal system: tetragonal. The value obtained for the total magnetic moment is 2.704 μB/f.u.

*b*
An optimized crystal structure of TcRuI2N. Source: Alexandria, functional PBE-GGA.

Structure (CIF):
```
data_TcRuI2N
_chemical_formula_sum 'Tc1 Ru1 I2 N1'
_cell_length_a 5.599
_cell_length_b 5.599
_cell_length_c 3.701
_cell_angle_alpha 90.00
_cell_angle_beta 90.00
_cell_angle_gamma 90.00
_space_group_name_H-M_alt 'P 4/m m m'
_space_group_IT_number 123
_space_group_name_Hall '-P 4 2'
loop_
_atom_site_label
_atom_site_type_symbol
_atom_site_fract_x
_atom_site_fract_y
_atom_site_fract_z
_atom_site_occupancy
Tc1 Tc 0.000 0.000 0.000 1
Ru1 Ru 0.500 0.500 0.500 1
I1 I 0.000 0.500 0.500 1
N1 N 0.500 0.500 0.000 1
```

Properties
As for the crystal system: tetragonal. The value obtained for the total magnetic moment is 4.333 μB/f.u.

It turns out *b* is the most stable, with the second structure 17 meV/atom higher.

*a*
An optimized crystal structure of TcRuIN2. Source: Alexandria, functional PBE-GGA.

Structure (CIF):
```
data_TcRuIN2
_chemical_formula_sum 'Tc1 Ru1 I1 N2'
_cell_length_a 3.856
_cell_length_b 3.856
_cell_length_c 5.966
_cell_angle_alpha 90.00
_cell_angle_beta 90.00
_cell_angle_gamma 90.00
_space_group_name_H-M_alt 'P 4/m m m'
_space_group_IT_number 123
_space_group_name_Hall '-P 4 2'
loop_
_atom_site_label
_atom_site_type_symbol
_atom_site_fract_x
_atom_site_fract_y
_atom_site_fract_z
_atom_site_occupancy
Tc1 Tc 0.000 0.000 0.000 1
Ru1 Ru 0.500 0.500 0.500 1
I1 I 0.500 0.500 0.000 1
N1 N 0.000 0.500 0.500 1
```

Properties
As for the crystal system: tetragonal. The value obtained for the total magnetic moment is 3.626 μB/f.u.

*b*
An optimized crystal structure of TcRuIN2. Source: Alexandria, functional PBE-GGA.

Structure (CIF):
```
data_TcRuIN2
_chemical_formula_sum 'Tc1 Ru1 I1 N2'
_cell_length_a 3.835
_cell_length_b 3.835
_cell_length_c 5.916
_cell_angle_alpha 90.00
_cell_angle_beta 90.00
_cell_angle_gamma 90.00
_space_group_name_H-M_alt 'P 4/m m m'
_space_group_IT_number 123
_space_group_name_Hall '-P 4 2'
loop_
_atom_site_label
_atom_site_type_symbol
_atom_site_fract_x
_atom_site_fract_y
_atom_site_fract_z
_atom_site_occupancy
Tc1 Tc 0.000 0.000 0.000 1
Ru1 Ru 0.500 0.500 0.500 1
I1 I 0.000 0.000 0.500 1
N1 N 0.000 0.500 0.000 1
```

Properties
As for the crystal system: tetragonal. The value obtained for the total magnetic moment is 1.578 μB/f.u.

It turns out *b* is the most stable, with the second structure 265 meV/atom higher.